VASP calculation (PBE-GGA) on a geometry-optimized Ba2Li2NpS6 structure.

formation energy from raw total energies	-1.3783	eV/atom
crystal system	trigonal
total magnetization	3.0	μB/cell

Unit cell a=7.3394 b=7.3394 c=18.5193 alpha=90.00 beta=90.00 gamma=120.00
Space group R-3m (No. 166, hexagonal axes)
Symmetry-distinct sites (fractional):
Ba 0.0000 0.0000 0.2243
Li 0.0000 0.0000 0.4261
Np 0.0000 0.0000 0.0000
S 0.0204 0.5102 0.7511

***

VASP calculation (PBE-GGA) on a geometry-optimized ZnFeCu2 structure.

crystal system	orthorhombic
energy of formation from the pure elements	104	meV/atom
total magnetization	2.4	μB/cell
DOS(E_F)	1.96	states/eV per cell

Unit cell a=2.6398 b=4.3473 c=4.3527 alpha=90.00 beta=90.00 gamma=90.00
Space group Pmmm (No. 47)
Symmetry-distinct sites (fractional):
Zn 0.0000 0.0000 0.0000
Fe 0.5000 0.0000 0.5000
Cu 0.0000 0.5000 0.5000
Cu 0.5000 0.5000 0.0000

***

Question: Among the records above, which one has the highest total magnetization?
Answer: Ba2Li2NpS6